# 1
An optimized crystal structure of BaScPb2, computed with PBEsol.

Summary:
For the formation energy, the calculation gives -467 meV per atom.

a = 3.555 Å, b = 4.325 Å, c = 7.625 Å
α = 90.00°, β = 90.00°, γ = 90.00°
Space group Pmmm (No. 47)
Asymmetric unit:
Ba 0.000 0.000 0.000 x1
Sc 0.000 0.000 0.500 x1
Pb 0.500 0.500 0.297 x2

=====

# 2
An optimized crystal structure of Hf2HgPbF, computed with PBEsol.

Summary:
For the uncorrected formation energy, the calculation gives 0.462 eV/atom.

a = 5.277 Å, b = 5.277 Å, c = 4.431 Å
α = 90.00°, β = 90.00°, γ = 90.00°
Space group P4/mmm (No. 123)
Asymmetric unit:
Hf 0.000 0.500 0.000 x2
Hg 0.000 0.000 0.000 x1
Pb 0.500 0.500 0.500 x1
F 0.000 0.000 0.500 x1

=====

# 3
An optimized crystal structure of Ba2AuCl, computed with PBEsol.

Summary:
The offset from the most stable computed form comes out at 0.079 eV per atom. For the uncorrected formation energy, the calculation gives -1.167 eV/atom.

a = 4.013 Å, b = 3.970 Å, c = 8.653 Å
α = 90.00°, β = 93.00°, γ = 90.00°
Space group P2/m (No. 10)
Asymmetric unit:
Ba 0.026 0.000 0.218 x2
Au 0.500 0.500 0.000 x1
Cl 0.000 0.500 0.500 x1

=====

# 4
An optimized crystal structure of LaYZn2As, computed with PBEsol.

Summary:
For the formation energy, the calculation gives 478 meV per atom.

a = 5.201 Å, b = 5.201 Å, c = 5.469 Å
α = 90.00°, β = 90.00°, γ = 90.00°
Space group P4/mmm (No. 123)
Asymmetric unit:
La 0.000 0.000 0.000 x1
Y 0.500 0.500 0.500 x1
Zn 0.000 0.500 0.000 x2
As 0.000 0.000 0.500 x1

=====

no.,DOS at the Fermi energy (states/eV/atom)
1,0.665
2,0.614
3,0.716
4,0.915